# YScIr2

Crystalline YScIr2 at its relaxed geometry (PBE, Alexandria).

**Total DFT energy (no corrections)**: -7.529 eV per atom
**Calculated density**: 10.5 g/cm³
**Energy of formation**: 39 kJ/mol of formula units
**Total magnetization**: 0.000 μB per cell
**Density of states at the Fermi level**: 0.403 states/eV/atom
**V**: 247.0 Å³ per cell

Cell lengths 3.1878, 3.1878, 28.0701 Å; angles 90.00, 90.00, 120.00 degrees
Space group R3m (No. 160, hexagonal axes)
Asymmetric unit:
Y 0.0000 0.0000 0.0000 [3 per cell]
Sc 0.0000 0.0000 0.2197 [3 per cell]
Ir 0.0000 0.0000 0.4868 [3 per cell]
Ir 0.0000 0.0000 0.7398 [3 per cell]



# Nd3Ge5S12

Crystalline Nd3Ge5S12 at its relaxed geometry (PBE, Alexandria).

**Total DFT energy (no corrections)**: -5.262 eV per atom
**Calculated density**: 4.2 g/cm³
**Total magnetization**: 0.000 μB per cell
**Density of states at the Fermi level**: 0.057 states/eV/atom
**V**: 3741.3 Å³ per cell
**ΔE_f (raw)**: -916 meV per atom

Cell lengths 15.524, 15.524, 15.524 Å; angles 90.00, 90.00, 90.00 degrees
Space group Ia-3d (No. 230)
Asymmetric unit:
Nd 0.000 0.250 0.125 [24 per cell]
Ge 0.000 0.000 0.000 [16 per cell]
Ge 0.000 0.250 0.375 [24 per cell]
S 0.029 0.060 0.656 [96 per cell]



# Tl6Sb3As

Crystalline Tl6Sb3As at its relaxed geometry (PBE, Alexandria).

**Total DFT energy (no corrections)**: -3.082 eV per atom
**Calculated density**: 8.9 g/cm³
**Total magnetization**: 0.000 μB per cell
**Density of states at the Fermi level**: 0.524 states/eV/atom
**V**: 621.8 Å³ per cell
**ΔE_f (raw)**: 40 meV per atom

Cell lengths 9.121, 6.981, 13.264 Å; angles 90.00, 132.59, 90.00 degrees
Space group P2_1/c (No. 14)
Asymmetric unit:
Tl 0.100 0.235 0.257 [4 per cell]
Tl 0.242 0.098 0.067 [4 per cell]
Tl 0.399 0.618 0.066 [4 per cell]
Sb 0.000 0.000 0.500 [2 per cell]
Sb 0.291 0.741 0.761 [4 per cell]
As 0.500 0.000 0.000 [2 per cell]



# CaTi2Ir2

Crystalline CaTi2Ir2 at its relaxed geometry (PBE, Alexandria).

**Total DFT energy (no corrections)**: -7.815 eV per atom
**Calculated density**: 8.8 g/cm³
**Energy of formation**: -344 kJ/mol of formula units
**Total magnetization**: 0.000 μB per cell
**Distance to the lowest polymorph of the same formula**: 0.000 eV/f.u.
**Density of states at the Fermi level**: 0.793 states/eV/atom
**V**: 196.7 Å³ per cell

Cell lengths 4.242, 4.242, 10.931 Å; angles 90.00, 90.00, 90.00 degrees
Space group I4/mmm (No. 139)
Asymmetric unit:
Ca 0.000 0.000 0.000 [2 per cell]
Ti 0.000 0.500 0.250 [4 per cell]
Ir 0.000 0.000 0.380 [4 per cell]



# KScHg4

Crystalline KScHg4 at its relaxed geometry (PBE, Alexandria).

**Total DFT energy (no corrections)**: -1.408 eV per atom
**Calculated density**: 9.4 g/cm³
**Energy of formation**: 18 kJ/mol of formula units
**Total magnetization**: 0.040 μB per cell
**Density of states at the Fermi level**: 0.959 states/eV/atom
**V**: 627.4 Å³ per cell

Cell lengths 8.561, 8.561, 8.561 Å; angles 90.00, 90.00, 90.00 degrees
Space group F-43m (No. 216)
Asymmetric unit:
K 0.000 0.000 0.000 [4 per cell]
Sc 0.250 0.250 0.750 [4 per cell]
Hg 0.125 0.125 0.375 [16 per cell]



# Sc2ZnSb

Crystalline Sc2ZnSb at its relaxed geometry (PBE, Alexandria).

**Total DFT energy (no corrections)**: -5.125 eV per atom
**Calculated density**: 5.3 g/cm³
**Total magnetization**: 0.000 μB per cell
**Distance to the lowest polymorph of the same formula**: 0.000 eV/f.u.
**Density of states at the Fermi level**: 0.791 states/eV/atom
**V**: 87.1 Å³ per cell
**ΔE_f (raw)**: -610 meV per atom

Cell lengths 4.084, 4.010, 5.694 Å; angles 90.00, 110.97, 90.00 degrees
Space group Pm (No. 6)
Asymmetric unit:
Sc 0.000 0.000 0.000 [1 per cell]
Sc 0.281 0.500 0.565 [1 per cell]
Zn 0.739 0.000 0.482 [1 per cell]
Sb 0.561 0.500 0.123 [1 per cell]



# IrPd

Crystalline IrPd at its relaxed geometry (PBE, Alexandria).

**Total DFT energy (no corrections)**: -6.038 eV per atom
**Calculated density**: 10.9 g/cm³
**Energy of formation**: 191 kJ/mol of formula units
**Total magnetization**: 0.000 μB per cell
**Density of states at the Fermi level**: 1.276 states/eV/atom
**V**: 362.8 Å³ per cell

Cell lengths 9.562, 9.562, 3.968 Å; angles 90.00, 90.00, 90.00 degrees
Space group I4/m (No. 87)
Asymmetric unit:
Ir 0.190 0.711 0.000 [8 per cell]
Pd 0.031 0.791 0.500 [8 per cell]



# In3SnHg12

Crystalline In3SnHg12 at its relaxed geometry (PBE, Alexandria).

**Total DFT energy (no corrections)**: -0.972 eV per atom
**Calculated density**: 11.3 g/cm³
**Energy of formation**: 28 kJ/mol of formula units
**Total magnetization**: 0.000 μB per cell
**Density of states at the Fermi level**: 0.292 states/eV/atom
**V**: 421.6 Å³ per cell

Cell lengths 5.008, 5.008, 16.811 Å; angles 90.00, 90.00, 90.00 degrees
Space group P4/mmm (No. 123)
Asymmetric unit:
In 0.000 0.000 0.000 [1 per cell]
In 0.000 0.000 0.254 [2 per cell]
Sn 0.000 0.000 0.500 [1 per cell]
Hg 0.000 0.500 0.127 [4 per cell]
Hg 0.000 0.500 0.376 [4 per cell]
Hg 0.500 0.500 0.000 [1 per cell]
Hg 0.500 0.500 0.251 [2 per cell]
Hg 0.500 0.500 0.500 [1 per cell]



# KPmMgCl6

Crystalline KPmMgCl6 at its relaxed geometry (PBE, Alexandria).

**Total DFT energy (no corrections)**: -4.145 eV per atom
**Calculated density**: 2.5 g/cm³
**Total magnetization**: 0.000 μB per cell
**Density of states at the Fermi level**: 0.000 states/eV/atom
**V**: 565.1 Å³ per cell
**ΔE_f (raw)**: -2087 meV per atom

Cell lengths 6.8981, 6.8981, 13.7127 Å; angles 90.00, 90.00, 120.00 degrees
Space group P-31c (No. 163)
Asymmetric unit:
K 0.0000 0.0000 0.0000 [2 per cell]
Pm 0.3333 0.6667 0.2500 [2 per cell]
Mg 0.3333 0.6667 0.7500 [2 per cell]
Cl 0.0213 0.3815 0.6421 [12 per cell]



# Ta2AlPt

Crystalline Ta2AlPt at its relaxed geometry (PBE, Alexandria).

**Total DFT energy (no corrections)**: -8.732 eV per atom
**Calculated density**: 14.5 g/cm³
**Energy of formation**: -139 kJ/mol of formula units
**Total magnetization**: 0.000 μB per cell
**Density of states at the Fermi level**: 0.892 states/eV/atom
**V**: 134.0 Å³ per cell

Cell lengths 3.910, 3.910, 8.768 Å; angles 90.00, 90.00, 90.00 degrees
Space group I-4m2 (No. 119)
Asymmetric unit:
Ta 0.000 0.000 0.000 [2 per cell]
Ta 0.000 0.500 0.250 [2 per cell]
Al 0.000 0.500 0.750 [2 per cell]
Pt 0.000 0.000 0.500 [2 per cell]



# ZrPd6Au

Crystalline ZrPd6Au at its relaxed geometry (PBE, Alexandria).

**Total DFT energy (no corrections)**: -5.298 eV per atom
**Calculated density**: 10.0 g/cm³
**Energy of formation**: 57 kJ/mol of formula units
**Total magnetization**: 0.000 μB per cell
**Distance to the lowest polymorph of the same formula**: 4.322 eV/f.u.
**Density of states at the Fermi level**: 0.613 states/eV/atom
**V**: 461.8 Å³ per cell

Cell lengths 7.2386, 7.2386, 10.1757 Å; angles 90.00, 90.00, 120.00 degrees
Space group R-3m (No. 166, hexagonal axes)
Asymmetric unit:
Zr 0.0000 0.0000 0.0000 [3 per cell]
Pd 0.0808 0.5404 0.3806 [18 per cell]
Au 0.0000 0.0000 0.5000 [3 per cell]



# CaSi2Se

Crystalline CaSi2Se at its relaxed geometry (PBE, Alexandria).

**Total DFT energy (no corrections)**: -4.712 eV per atom
**Calculated density**: 2.9 g/cm³
**Total magnetization**: 0.000 μB per cell
**Density of states at the Fermi level**: 0.025 states/eV/atom
**V**: 201.1 Å³ per cell
**ΔE_f (raw)**: -629 meV per atom

Cell lengths 5.001, 5.647, 7.362 Å; angles 76.34, 84.51, 87.57 degrees
Space group P-1 (No. 2)
Asymmetric unit:
Ca 0.247 0.298 0.367 [2 per cell]
Si 0.212 0.546 0.918 [2 per cell]
Si 0.466 0.782 0.062 [2 per cell]
Se 0.291 0.791 0.381 [2 per cell]